(1)
An optimized crystal structure of Ac6In3N, computed with GGA-PBE.

space group = Fm-3m
E_tot = -4.31 eV per atom
M_tot = 0.00 μB per formula unit

a b c (Å): 8.157 8.157 8.157
angles (deg): 60.00 60.00 60.00
Atoms (fractional coordinates):
Ac1 0.231 0.231 0.769
Ac2 0.231 0.769 0.231
Ac3 0.231 0.769 0.769
Ac4 0.769 0.231 0.231
Ac5 0.769 0.231 0.769
Ac6 0.769 0.769 0.231
In1 0.250 0.250 0.250
In2 0.500 0.500 0.500
In3 0.750 0.750 0.750
N1 0.000 0.000 0.000

(2)
An optimized crystal structure of BaEuMg2, computed with GGA-PBE.

space group = Fm-3m
E_tot = -3.90 eV per atom
offset from the most stable computed form = 0.06 eV/f.u.
formation enthalpy at 0 K = -19 kJ/mol of formula units
M_tot = 7.37 μB per formula unit

a b c (Å): 5.947 5.947 5.947
angles (deg): 60.00 60.00 60.00
Atoms (fractional coordinates):
Ba1 0.000 0.000 0.000
Eu1 0.500 0.500 0.500
Mg1 0.250 0.250 0.250
Mg2 0.750 0.750 0.750

The highest M_tot belongs to which entry? BaEuMg2

What did the first record say?
An optimized crystal structure of Ac6In3N, computed with GGA-PBE.

space group = Fm-3m
E_tot = -4.31 eV per atom
M_tot = 0.00 μB per formula unit

a b c (Å): 8.157 8.157 8.157
angles (deg): 60.00 60.00 60.00
Atoms (fractional coordinates):
Ac1 0.231 0.231 0.769
Ac2 0.231 0.769 0.231
Ac3 0.231 0.769 0.769
Ac4 0.769 0.231 0.231
Ac5 0.769 0.231 0.769
Ac6 0.769 0.769 0.231
In1 0.250 0.250 0.250
In2 0.500 0.500 0.500
In3 0.750 0.750 0.750
N1 0.000 0.000 0.000